# 1
DFT (PBE) results for a relaxed structure of BeCuSe2.

Results
Formation energy without anion corrections, eV/atom: -0.262
Crystal system: monoclinic
Electronic total energy, eV/cell: -15.8

abc: 5.8586 5.8586 3.8070
angles: 81.19 81.19 35.52
With the nearest neighbours (Å) after each atom.
Fractional positions:
Be  0.5620  0.5620  0.2270  4 Se 2.23-2.31
Se  0.9473  0.9473  0.1393  2 Be 2.25, 2 Cu 2.52
Se  0.6739  0.6739  0.6607  2 Be 2.23-2.31, 2 Cu 2.42
Cu  0.3168  0.3168  0.4731  4 Se 2.42-2.52

***

# 2
DFT (PBE) results for a relaxed structure of CeDy2ScTe4.

Results
Formation energy without anion corrections, eV/atom: -1.244
Crystal system: monoclinic
Electronic total energy, eV/cell: -44.0

abc: 4.3114 7.5808 7.5209
angles: 108.97 90.00 90.00
With the nearest neighbours (Å) after each atom.
Fractional positions:
Te  0.5000  0.7624  0.7559  2 Sc 3.02, 3 Dy 3.03-3.13, 1 Ce 3.11
Te  0.0000  0.2384  0.7476  1 Sc 3.02, 3 Dy 3.03-3.13, 2 Ce 3.12
Te  0.0000  0.7616  0.2524  1 Sc 3.02, 3 Dy 3.03-3.13, 2 Ce 3.12
Te  0.5000  0.2376  0.2441  2 Sc 3.02, 3 Dy 3.03-3.13, 1 Ce 3.11
Dy  0.0000  0.5000  0.5000  6 Te 3.13
Dy  0.5000  0.0000  0.5000  6 Te 3.03
Sc  0.0000  0.0000  0.0000  6 Te 3.02
Ce  0.5000  0.5000  0.0000  6 Te 3.11-3.12

***

# 3
DFT (PBE) results for a relaxed structure of Tb2Tl3SbTe6.

Results
Formation energy without anion corrections, eV/atom: -0.777
Crystal system: monoclinic
Electronic total energy, eV/cell: -48.7

abc: 7.7703 7.7703 8.5086
angles: 98.75 98.75 120.04
With the nearest neighbours (Å) after each atom.
Fractional positions:
Tb  0.6665  0.3335  0.0000  6 Te 3.12-3.13
Tb  0.3335  0.6665  0.0000  6 Te 3.12-3.13
Te  0.5981  0.9294  0.7877  1 Sb 3.10, 2 Tb 3.12
Te  0.4019  0.0706  0.2123  1 Sb 3.10, 2 Tb 3.12
Te  0.2594  0.2594  0.7849  1 Sb 3.11, 2 Tb 3.13
Te  0.9294  0.5981  0.7877  1 Sb 3.10, 2 Tb 3.12
Te  0.0706  0.4019  0.2123  1 Sb 3.10, 2 Tb 3.12
Te  0.7406  0.7406  0.2151  1 Sb 3.11, 2 Tb 3.13
Tl  0.5000  0.5000  0.5000  6 Te 3.48
Tl  0.8310  0.1690  0.5000  6 Te 3.48
Tl  0.1690  0.8310  0.5000  6 Te 3.48
Sb  0.0000  0.0000  0.0000  6 Te 3.10-3.11